# Ce4SnBi3

Ce4SnBi3 after structural relaxation (PBE-GGA, Alexandria via LeMat-Bulk).

Cell lengths 14.735, 5.965, 6.059 Å; angles 90.00, 108.94, 90.00 degrees
Space group C2/m (No. 12)
Inequivalent atoms, fractional coordinates:
Ce (0.101, 0.000, 0.064) [4 per cell]
Ce (0.245, 0.000, 0.692) [4 per cell]
Sn (0.000, 0.000, 0.500) [2 per cell]
Bi (0.000, 0.500, 0.000) [2 per cell]
Bi (0.158, 0.500, 0.728) [4 per cell]

**Magnetic moment**: 11.42 μB/cell
**Theoretical density**: 8.611 g/cm³
**Energy of formation**: -0.3647 eV/atom
**Relative energy among the computed polymorphs**: 349.0 meV/atom


# Tb3PmPr6Tm2

Tb3PmPr6Tm2 after structural relaxation (PBE-GGA, Alexandria via LeMat-Bulk).

Cell lengths 6.314, 10.937, 11.923 Å; angles 90.00, 100.14, 90.00 degrees
Space group C2/m (No. 12)
Inequivalent atoms, fractional coordinates:
Tb (0.000, 0.000, 0.000) [2 per cell]
Tb (0.000, 0.333, 0.000) [4 per cell]
Pm (0.000, 0.500, 0.500) [2 per cell]
Pr (0.249, 0.000, 0.749) [4 per cell]
Pr (0.250, 0.167, 0.250) [8 per cell]
Tm (0.000, 0.167, 0.500) [4 per cell]

**Magnetic moment**: 0.00 μB/cell
**Theoretical density**: 7.397 g/cm³
**Energy of formation**: 0.0128 eV/atom


# Ti3BiC

Ti3BiC after structural relaxation (PBE-GGA, Alexandria via LeMat-Bulk).

Cell lengths 4.305, 4.305, 4.305 Å; angles 90.00, 90.00, 90.00 degrees
Space group Pm-3m (No. 221)
Inequivalent atoms, fractional coordinates:
Ti (0.000, 0.000, 0.500) [3 per cell]
Bi (0.500, 0.500, 0.500) [1 per cell]
C (0.000, 0.000, 0.000) [1 per cell]

**Magnetic moment**: 1.23 μB/cell
**Theoretical density**: 7.590 g/cm³
**Energy of formation**: -0.3480 eV/atom


# Na2CdIO

Na2CdIO after structural relaxation (PBE-GGA, Alexandria via LeMat-Bulk).

Cell lengths 5.079, 5.079, 4.568 Å; angles 90.00, 90.00, 90.00 degrees
Space group P4/mmm (No. 123)
Inequivalent atoms, fractional coordinates:
Na (0.000, 0.500, 0.000) [2 per cell]
Cd (0.000, 0.000, 0.500) [1 per cell]
I (0.500, 0.500, 0.500) [1 per cell]
O (0.000, 0.000, 0.000) [1 per cell]

**Magnetic moment**: 0.00 μB/cell
**DFT total energy**: -2.9471 eV per atom
**Theoretical density**: 4.246 g/cm³


# In2SnCl

In2SnCl after structural relaxation (PBE-GGA, Alexandria via LeMat-Bulk).

Cell lengths 7.482, 7.482, 7.482 Å; angles 90.00, 90.00, 90.00 degrees
Space group Fm-3m (No. 225)
Inequivalent atoms, fractional coordinates:
In (0.250, 0.250, 0.250) [8 per cell]
Sn (0.000, 0.000, 0.000) [4 per cell]
Cl (0.000, 0.000, 0.500) [4 per cell]

**Magnetic moment**: 0.00 μB/cell
**Theoretical density**: 6.086 g/cm³
**Relative energy among the computed polymorphs**: 82.3 meV/atom


- Look up the theoretical density of the first one.
  8.611 g/cm³